[1]
AcSnPd4: optimized geometry, PBE.

Results
Electronic total energy (eV per atom): -5.457
Energy relative to the elements (eV per atom): -0.643
ρ (Mg/m³): 10.032
Magnetic moment (Bohr magnetons per cell): 0.0
SG: No. 12
Excess energy over the best structure of this formula in the dataset (meV/atom): 18

Unit cell a=6.5522 b=6.5528 c=6.5522 alpha=77.78 beta=69.99 gamma=77.78
Atoms (fractional coordinates):
Pd  0.2341  0.0000  0.7659
Sn  0.5803  0.2202  0.5803
Sn  0.4197  0.7798  0.4197
Pd  0.1847  0.4352  0.5701
Pd  0.1784  0.7446  0.1784
Pd  0.5701  0.4352  0.1847
Ac  0.1646  0.2352  0.1646
Pd  0.8216  0.2554  0.8216
Pd  0.4299  0.5648  0.8153
Ac  0.8354  0.7648  0.8354
Pd  0.7659  0.0000  0.2341
Pd  0.8153  0.5648  0.4299

---

[2]
Ac3Sn4Pd2: optimized geometry, PBE.

Results
Electronic total energy (eV per atom): -5.078
Energy relative to the elements (eV per atom): -0.776
ρ (Mg/m³): 8.764
Magnetic moment (Bohr magnetons per cell): 0.0
SG: No. 12

Unit cell a=4.9330 b=6.3521 c=9.3298 alpha=104.47 beta=90.00 gamma=112.85
Atoms (fractional coordinates):
Sn  0.9033  0.8066  0.5895
Sn  0.7119  0.4237  0.0725
Pd  0.6693  0.3387  0.3451
Sn  0.2881  0.5763  0.9275
Sn  0.0967  0.1934  0.4105
Pd  0.3307  0.6613  0.6549
Ac  0.6315  0.2630  0.6861
Ac  0.0000  0.0000  0.0000
Ac  0.3685  0.7370  0.3139

---

[3]
Ac2Sn4Pd: optimized geometry, PBE.

Results
Electronic total energy (eV per atom): -4.617
Energy relative to the elements (eV per atom): -0.414
ρ (Mg/m³): 7.637
Magnetic moment (Bohr magnetons per cell): 0.0
SG: No. 139

Unit cell a=5.1480 b=5.1480 c=9.2414 alpha=106.17 beta=106.17 gamma=90.00
Atoms (fractional coordinates):
Ac  0.6449  0.6449  0.2898
Sn  0.1606  0.1606  0.3212
Ac  0.3551  0.3551  0.7102
Sn  0.5000  0.0000  0.0000
Sn  0.0000  0.5000  0.0000
Pd  0.0000  0.0000  0.0000
Sn  0.8394  0.8394  0.6788

---

[4]
AcSn12Pd4: optimized geometry, PBE.

Results
Electronic total energy (eV per atom): -4.662
Energy relative to the elements (eV per atom): -0.373
ρ (Mg/m³): 7.949
Magnetic moment (Bohr magnetons per cell): 0.0
SG: No. 204

Unit cell a=8.2606 b=8.2606 c=8.2606 alpha=109.47 beta=109.47 gamma=109.47
Atoms (fractional coordinates):
Sn  0.6543  0.8148  0.1606
Sn  0.1606  0.3457  0.5063
Ac  0.0000  0.0000  0.0000
Pd  0.0000  0.0000  0.5000
Sn  0.3457  0.1852  0.8394
Pd  0.0000  0.5000  0.0000
Sn  0.8148  0.1606  0.6543
Sn  0.1852  0.8394  0.3457
Sn  0.6543  0.4937  0.8394
Sn  0.5063  0.1606  0.3457
Sn  0.8394  0.6543  0.4937
Pd  0.5000  0.0000  0.0000
Sn  0.3457  0.5063  0.1606
Sn  0.8394  0.3457  0.1852
Pd  0.5000  0.5000  0.5000
Sn  0.1606  0.6543  0.8148
Sn  0.4937  0.8394  0.6543

---

[5]
AcSn2Pd6: optimized geometry, PBE.

Results
Electronic total energy (eV per atom): -5.352
Energy relative to the elements (eV per atom): -0.544
ρ (Mg/m³): 9.253
Magnetic moment (Bohr magnetons per cell): 0.0
SG: No. 191

Unit cell a=5.6965 b=5.6965 c=7.0435 alpha=90.00 beta=90.00 gamma=120.00
Atoms (fractional coordinates):
Pd  0.4999  0.4999  0.1968
Sn  0.3333  0.6667  0.5000
Pd  0.5001  0.5001  0.8032
Ac  0.0000  0.0000  0.0000
Pd  0.4999  0.0000  0.8032
Pd  0.0000  0.4999  0.8032
Pd  0.0000  0.5001  0.1968
Pd  0.5001  0.0000  0.1968
Sn  0.6667  0.3333  0.5000

---

[6]
AcSn6Pd12: optimized geometry, PBE.

Results
Electronic total energy (eV per atom): -5.252
Energy relative to the elements (eV per atom): -0.492
ρ (Mg/m³): 9.770
Magnetic moment (Bohr magnetons per cell): 0.0
SG: No. 166

Unit cell a=7.5702 b=7.5702 c=7.5702 alpha=105.31 beta=105.31 gamma=105.31
Atoms (fractional coordinates):
Pd  0.1161  0.8839  0.5000
Pd  0.1318  0.3842  0.3842
Sn  0.7259  0.7259  0.3013
Pd  0.6158  0.8682  0.6158
Sn  0.2741  0.2741  0.6987
Ac  0.0000  0.0000  0.0000
Pd  0.8839  0.1161  0.5000
Pd  0.5000  0.1161  0.8839
Pd  0.1161  0.5000  0.8839
Sn  0.7259  0.3013  0.7259
Pd  0.5000  0.8839  0.1161
Pd  0.3842  0.3842  0.1318
Sn  0.6987  0.2741  0.2741
Pd  0.3842  0.1318  0.3842
Pd  0.6158  0.6158  0.8682
Pd  0.8682  0.6158  0.6158
Pd  0.8839  0.5000  0.1161
Sn  0.2741  0.6987  0.2741
Sn  0.3013  0.7259  0.7259

---

[7]
AcSn4Pd3: optimized geometry, PBE.

Results
Electronic total energy (eV per atom): -5.000
Energy relative to the elements (eV per atom): -0.538
ρ (Mg/m³): 8.475
Magnetic moment (Bohr magnetons per cell): 0.0
SG: No. 166

Unit cell a=4.6104 b=4.6104 c=11.1896 alpha=78.11 beta=78.11 gamma=60.00
Atoms (fractional coordinates):
Sn  0.9111  0.9111  0.2668
Sn  0.6956  0.6956  0.9132
Sn  0.3044  0.3044  0.0868
Pd  0.2218  0.2218  0.3347
Sn  0.0889  0.0889  0.7332
Ac  0.5000  0.5000  0.5000
Pd  0.7782  0.7782  0.6653
Pd  0.0000  0.0000  0.0000

---

[8]
Ac3Sn2Pd4: optimized geometry, PBE.

Results
Electronic total energy (eV per atom): -5.395
Energy relative to the elements (eV per atom): -0.828
ρ (Mg/m³): 9.554
Magnetic moment (Bohr magnetons per cell): 0.0
SG: No. 12

Unit cell a=4.6933 b=5.9513 c=9.1692 alpha=96.40 beta=90.00 gamma=113.22
Atoms (fractional coordinates):
Ac  0.3748  0.7497  0.6187
Ac  0.0000  0.0000  0.0000
Sn  0.3264  0.6528  0.2141
Pd  0.0838  0.1676  0.6303
Ac  0.6252  0.2503  0.3813
Pd  0.9162  0.8324  0.3697
Sn  0.6736  0.3472  0.7859
Pd  0.7289  0.4578  0.0883
Pd  0.2711  0.5422  0.9117

---

[9]
AcSnPd3: optimized geometry, PBE.

Results
Electronic total energy (eV per atom): -5.348
Energy relative to the elements (eV per atom): -0.610
ρ (Mg/m³): 9.312
Magnetic moment (Bohr magnetons per cell): 0.0
SG: No. 194
Excess energy over the best structure of this formula in the dataset (meV/atom): 0

Unit cell a=6.3669 b=6.3669 c=13.5102 alpha=90.00 beta=90.00 gamma=120.00
Atoms (fractional coordinates):
Pd  0.8624  0.1376  0.2500
Pd  0.1376  0.2752  0.7500
Pd  0.0000  0.5000  0.5000
Pd  0.2752  0.1376  0.2500
Sn  0.6667  0.3333  0.3623
Pd  0.5000  0.0000  0.0000
Ac  0.6667  0.3333  0.7500
Ac  0.0000  0.0000  0.5000
Sn  0.6667  0.3333  0.1377
Pd  0.5000  0.5000  0.5000
Pd  0.5000  0.0000  0.5000
Ac  0.0000  0.0000  0.0000
Pd  0.5000  0.5000  0.0000
Pd  0.0000  0.5000  0.0000
Pd  0.8624  0.7248  0.2500
Ac  0.3333  0.6667  0.2500
Sn  0.3333  0.6667  0.6377
Sn  0.3333  0.6667  0.8623
Pd  0.7248  0.8624  0.7500
Pd  0.1376  0.8624  0.7500

---

[10]
Ac3Sn4Pd4: optimized geometry, PBE.

Results
Electronic total energy (eV per atom): -5.291
Energy relative to the elements (eV per atom): -0.826
ρ (Mg/m³): 9.013
Magnetic moment (Bohr magnetons per cell): 0.0
SG: No. 71

Unit cell a=4.7796 b=4.5580 c=13.7769 alpha=99.52 beta=99.99 gamma=90.00
Atoms (fractional coordinates):
Ac  0.6520  0.1520  0.3040
Sn  0.4465  0.4465  0.8929
Ac  0.0000  0.0000  0.0000
Sn  0.8012  0.3012  0.6024
Pd  0.2517  0.2517  0.5035
Sn  0.1988  0.6988  0.3976
Pd  0.9017  0.4017  0.8033
Ac  0.3480  0.8480  0.6960
Pd  0.0983  0.5983  0.1967
Sn  0.5535  0.5535  0.1071
Pd  0.7483  0.7482  0.4965

---

[11]
AcSn2Pd: optimized geometry, PBE.

Results
Electronic total energy (eV per atom): -4.765
Energy relative to the elements (eV per atom): -0.438
ρ (Mg/m³): 9.273
Magnetic moment (Bohr magnetons per cell): 0.0
SG: No. 123
Excess energy over the best structure of this formula in the dataset (meV/atom): 347

Unit cell a=3.6169 b=3.6169 c=7.8136 alpha=90.00 beta=90.00 gamma=90.00
Atoms (fractional coordinates):
Pd  0.5000  0.5000  0.0000
Ac  0.5000  0.5000  0.5000
Sn  0.0000  0.0000  0.8073
Sn  0.0000  0.0000  0.1927

---

[12]
Ac3SnPd2: optimized geometry, PBE.

Results
Electronic total energy (eV per atom): -5.098
Energy relative to the elements (eV per atom): -0.646
ρ (Mg/m³): 8.410
Magnetic moment (Bohr magnetons per cell): 0.0
SG: No. 167

Unit cell a=8.3865 b=8.3865 c=8.3865 alpha=58.19 beta=58.19 gamma=58.19
Atoms (fractional coordinates):
Sn  0.0000  0.0000  0.0000
Sn  0.5000  0.5000  0.5000
Pd  0.3544  0.3544  0.3544
Pd  0.8544  0.8544  0.8544
Ac  0.7500  0.4585  0.0415
Ac  0.2500  0.5415  0.9585
Ac  0.4585  0.0415  0.7500
Pd  0.1456  0.1456  0.1456
Ac  0.0415  0.7500  0.4585
Ac  0.5415  0.9585  0.2500
Ac  0.9585  0.2500  0.5415
Pd  0.6456  0.6456  0.6456

---

[13]
AcSnPd4: optimized geometry, PBE.

Results
Electronic total energy (eV per atom): -5.408
Energy relative to the elements (eV per atom): -0.594
ρ (Mg/m³): 10.621
Magnetic moment (Bohr magnetons per cell): 0.0
SG: No. 216
Excess energy over the best structure of this formula in the dataset (meV/atom): 67

Unit cell a=5.5457 b=5.5457 c=5.5457 alpha=60.00 beta=60.00 gamma=60.00
Atoms (fractional coordinates):
Pd  0.1226  0.6258  0.6258
Pd  0.6258  0.6258  0.6258
Pd  0.6258  0.1226  0.6258
Ac  0.2500  0.2500  0.2500
Pd  0.6258  0.6258  0.1226
Sn  0.0000  0.0000  0.0000

---

[14]
AcSn3Pd5: optimized geometry, PBE.

Results
Electronic total energy (eV per atom): -5.303
Energy relative to the elements (eV per atom): -0.627
ρ (Mg/m³): 9.469
Magnetic moment (Bohr magnetons per cell): 0.0
SG: No. 63

Unit cell a=4.1060 b=7.2700 c=13.6593 alpha=90.00 beta=90.00 gamma=106.40
Atoms (fractional coordinates):
Sn  0.3760  0.7520  0.5352
Pd  0.5359  0.0718  0.6475
Pd  0.1944  0.3888  0.5751
Pd  0.0000  0.0000  0.5000
Pd  0.5359  0.0718  0.8525
Ac  0.1500  0.3000  0.2500
Sn  0.6240  0.2480  0.4648
Pd  0.8056  0.6112  0.4249
Sn  0.6240  0.2480  0.0352
Sn  0.8867  0.7733  0.2500
Sn  0.3760  0.7520  0.9648
Sn  0.1133  0.2267  0.7500
Pd  0.1944  0.3888  0.9249
Pd  0.0000  0.0000  0.0000
Pd  0.4641  0.9282  0.1475
Pd  0.4641  0.9282  0.3525
Ac  0.8500  0.7000  0.7500
Pd  0.8056  0.6112  0.0751

---

[15]
Ac3Sn2Pd7: optimized geometry, PBE.

Results
Electronic total energy (eV per atom): -5.430
Energy relative to the elements (eV per atom): -0.707
ρ (Mg/m³): 9.954
Magnetic moment (Bohr magnetons per cell): 0.0
SG: No. 10
Excess energy over the best structure of this formula in the dataset (meV/atom): 0

Unit cell a=4.3490 b=4.4360 c=14.5543 alpha=98.79 beta=90.00 gamma=90.00
Atoms (fractional coordinates):
Pd  0.5000  0.9225  0.8476
Ac  0.5000  0.5000  0.0000
Pd  0.0000  0.0000  0.0000
Sn  0.5000  0.3698  0.7422
Pd  0.5000  0.0775  0.1524
Ac  0.0000  0.8150  0.6320
Ac  0.0000  0.1850  0.3680
Sn  0.5000  0.6302  0.2578
Pd  0.0000  0.5785  0.1510
Pd  0.5000  0.2783  0.5559
Pd  0.5000  0.7217  0.4441
Pd  0.0000  0.4215  0.8490

---

[16]
Ac3Sn5Pd6: optimized geometry, PBE.

Results
Electronic total energy (eV per atom): -5.320
Energy relative to the elements (eV per atom): -0.784
ρ (Mg/m³): 9.601
Magnetic moment (Bohr magnetons per cell): 0.0
SG: No. 59

Unit cell a=4.6144 b=10.1754 c=14.0942 alpha=90.00 beta=90.00 gamma=90.00
Atoms (fractional coordinates):
Pd  0.5000  0.0234  0.6367
Ac  0.0000  0.2578  0.6856
Pd  0.0000  0.6259  0.3216
Sn  0.5000  0.1013  0.1715
Sn  0.5000  0.2141  0.5000
Pd  0.0000  0.9766  0.8633
Sn  0.0000  0.7859  0.0000
Ac  0.5000  0.7718  0.5000
Sn  0.0000  0.8987  0.6715
Pd  0.0000  0.9766  0.1367
Ac  0.5000  0.7422  0.1856
Sn  0.0000  0.5147  0.8766
Ac  0.0000  0.2578  0.3144
Pd  0.5000  0.0234  0.3633
Pd  0.5000  0.4995  0.0000
Ac  0.5000  0.7422  0.8144
Sn  0.5000  0.4853  0.6234
Pd  0.0000  0.5005  0.5000
Sn  0.5000  0.1013  0.8285
Pd  0.0000  0.0399  0.5000
Pd  0.5000  0.3741  0.1784
Ac  0.0000  0.2282  0.0000
Pd  0.0000  0.6259  0.6784
Sn  0.5000  0.4853  0.3766
Pd  0.5000  0.9601  0.0000
Pd  0.5000  0.3741  0.8216
Sn  0.0000  0.5147  0.1234
Sn  0.0000  0.8987  0.3285

---

[17]
Ac3Sn4Pd7: optimized geometry, PBE.

Results
Electronic total energy (eV per atom): -5.422
Energy relative to the elements (eV per atom): -0.801
ρ (Mg/m³): 9.927
Magnetic moment (Bohr magnetons per cell): 0.0
SG: No. 12

Unit cell a=4.5898 b=9.0909 c=8.4608 alpha=72.20 beta=74.26 gamma=75.38
Atoms (fractional coordinates):
Pd  0.6813  0.2168  0.4206
Ac  0.3315  0.1692  0.1678
Pd  0.4909  0.7873  0.2310
Pd  0.1162  0.6594  0.1081
Sn  0.1301  0.1041  0.6357
Pd  0.3187  0.7832  0.5794
Pd  0.8838  0.3406  0.8919
Pd  0.5091  0.2127  0.7690
Pd  0.0000  0.0000  0.0000
Sn  0.3224  0.5174  0.8379
Ac  0.0000  0.5000  0.5000
Sn  0.8699  0.8959  0.3643
Ac  0.6685  0.8308  0.8322
Sn  0.6776  0.4826  0.1621

---

[18]
AcSnPd4: optimized geometry, PBE.

Results
Electronic total energy (eV per atom): -5.475
Energy relative to the elements (eV per atom): -0.662
ρ (Mg/m³): 10.417
Magnetic moment (Bohr magnetons per cell): 0.0
SG: No. 63
Excess energy over the best structure of this formula in the dataset (meV/atom): 0

Unit cell a=4.3523 b=6.2167 c=9.3459 alpha=90.00 beta=103.46 gamma=90.00
Atoms (fractional coordinates):
Ac  0.0901  0.2500  0.1801
Pd  0.5000  0.5000  0.0000
Pd  0.3389  0.0318  0.6779
Sn  0.7721  0.2500  0.5443
Ac  0.9099  0.7500  0.8199
Pd  0.0776  0.7500  0.1553
Pd  0.3389  0.4682  0.6779
Sn  0.2279  0.7500  0.4557
Pd  0.6610  0.9682  0.3221
Pd  0.5000  0.0000  0.0000
Pd  0.6610  0.5318  0.3221
Pd  0.9224  0.2500  0.8447

---

[19]
Ac3Sn2Pd: optimized geometry, PBE.

Results
Electronic total energy (eV per atom): -5.022
Energy relative to the elements (eV per atom): -0.768
ρ (Mg/m³): 8.372
Magnetic moment (Bohr magnetons per cell): 2.7
SG: No. 62
Excess energy over the best structure of this formula in the dataset (meV/atom): 0

Unit cell a=4.8068 b=12.8788 c=13.1347 alpha=90.00 beta=90.00 gamma=90.00
Each line ends with the local moment (μB).
Atoms (fractional coordinates):
Ac  0.2500  0.4475  0.3815  0.05
Ac  0.2500  0.1277  0.5553  0.05
Pd  0.2500  0.1305  0.1235  0.01
Ac  0.2500  0.6984  0.2256  0.07
Ac  0.7500  0.3016  0.7744  0.07
Ac  0.7500  0.1984  0.2744  0.07
Sn  0.2500  0.0027  0.3061  0.00
Ac  0.2500  0.0525  0.8815  0.05
Sn  0.7500  0.9973  0.6939  0.00
Pd  0.2500  0.3695  0.6235  0.01
Ac  0.7500  0.9475  0.1185  0.05
Sn  0.7500  0.3096  0.5132  0.00
Pd  0.7500  0.8695  0.8765  0.01
Sn  0.2500  0.6904  0.4868  0.00
Sn  0.2500  0.8096  0.9868  0.00
Ac  0.2500  0.8016  0.7256  0.07
Sn  0.7500  0.1904  0.0132  0.00
Ac  0.7500  0.5525  0.6185  0.05
Pd  0.7500  0.6305  0.3765  0.01
Ac  0.2500  0.3723  0.0553  0.05
Ac  0.7500  0.8723  0.4447  0.05
Sn  0.2500  0.4973  0.8061  0.00
Sn  0.7500  0.5027  0.1939  0.00
Ac  0.7500  0.6277  0.9447  0.05